Tb6Mg5Sn | PBE | relaxed

POSCAR file:
```
Tb6Mg5Sn
1.0
-5.0769 -1.5358 -0.7987
1.0350 -5.8393 4.6481
-4.8802 3.7824 5.8385
Mg Tb Sn
5 6 1
Cartesian
-2.8060 -2.1734 4.0017
-6.1160 -1.4192 5.6863
-6.6117 1.4472 3.2905
-3.3454 0.7995 1.7494
0.5175 -2.9196 2.3241
-3.8409 0.8040 4.9381
-5.0811 -4.3966 4.7498
-1.7604 -5.1574 3.0948
-5.5954 -1.4953 2.4404
-3.3266 -2.0973 7.2476
-2.2814 -2.2176 0.7547
0.0000 0.0000 0.0000
```

Values from the calculation:
DOS at the Fermi energy: 1.078 states/eV per atom
Energy of formation: -0.212 eV/atom
SG: P2/m, No. 10
Raw total energy: -42.30 eV per cell


Ho3Er2Tm2 | PBE | relaxed

POSCAR file:
```
Ho3Er2Tm2
1.0
3.4552 0.0000 0.0000
0.0000 8.3483 -0.7545
-1.7276 -3.4907 7.8326
Er Ho Tm
2 3 2
Cartesian
0.0000 -2.2746 6.7403
1.7276 7.1322 0.3377
0.0000 5.2041 2.7159
0.0000 4.1741 -0.3773
1.7276 -0.3465 4.3621
1.7276 3.1741 5.0216
0.0000 1.6834 2.0565
```

Values from the calculation:
DOS at the Fermi energy: 1.602 states/eV per atom
Energy of formation: 0.118 eV/atom
SG: C2/m, No. 12
Raw total energy: -30.98 eV per cell


ThTl2 | PBE | relaxed

POSCAR file:
```
ThTl2
1.0
-3.6592 3.4475 -2.3027
1.1081 -4.8589 -2.3959
-4.8659 -2.8318 3.4925
Tl Th
4 2
Cartesian
-2.4329 -1.4159 1.7463
0.0000 0.0000 0.0000
-1.6975 -2.7981 -1.4917
-5.7195 -1.4451 0.2856
-3.2866 -0.0292 -1.4607
-4.1304 -4.2140 0.2545
```

Values from the calculation:
DOS at the Fermi energy: 0.841 states/eV per atom
Energy of formation: -0.013 eV/atom
SG: P6_3/mmc, No. 194
Raw total energy: -24.38 eV per cell


Ac2AsOs | PBE | relaxed

POSCAR file:
```
Ac2AsOs
1.0
-0.6909 3.6642 1.0489
-2.0965 -1.6968 4.5469
4.7608 0.2433 2.2859
Ac As Os
2 1 1
Cartesian
2.3804 0.1217 1.1429
-1.0482 -0.8484 2.2735
-0.3454 1.8321 0.5244
0.9867 1.1054 3.9409
```

Values from the calculation:
DOS at the Fermi energy: 0.423 states/eV per atom
Energy of formation: -0.270 eV/atom
SG: P4/mmm, No. 123
Raw total energy: -25.18 eV per cell


NaGaP | PBE | relaxed

POSCAR file:
```
NaGaP
1.0
3.7411 0.0000 -0.6691
0.0000 4.4890 0.0000
-0.4713 0.0000 8.1576
Ga P Na
2 2 2
Cartesian
1.2688 3.3668 7.0937
2.0010 1.1223 0.3947
0.3709 1.1223 2.0734
2.8989 3.3668 5.4150
0.8923 1.1223 4.9889
2.3774 3.3668 2.4995
```

Values from the calculation:
DOS at the Fermi energy: 0.512 states/eV per atom
Energy of formation: -0.239 eV/atom
SG: Cmcm, No. 63
Raw total energy: -20.95 eV per cell


LaPmPuN3 | PBE | relaxed

POSCAR file:
```
LaPmPuN3
1.0
3.6607 0.0000 0.0000
0.0000 7.4862 0.8864
0.0000 -1.9949 8.3031
Pu N Pm La
2 6 2 2
Cartesian
0.9152 -0.6716 4.9359
2.7455 6.1629 4.2537
0.9152 4.9993 4.2225
2.7455 6.3624 2.0752
2.7455 0.4920 4.9671
0.9152 2.8452 7.8473
0.9152 -0.8711 7.1143
2.7455 2.6461 1.3423
2.7455 1.1547 7.3062
0.9152 4.3366 1.8833
0.9152 0.9454 1.3182
2.7455 4.5459 7.8713
```

Values from the calculation:
DOS at the Fermi energy: 0.676 states/eV per atom
SG: P2_1/m, No. 11
Raw total energy: -109.26 eV per cell


La6SmAl2 | PBE | relaxed

POSCAR file:
```
La6SmAl2
1.0
-2.0185 -6.0936 4.9004
5.7171 -4.6029 -3.3688
7.2194 3.5551 7.3944
La Al Sm
12 4 2
Cartesian
2.5633 -7.4131 1.0615
7.6288 -5.5136 6.1426
7.8335 -3.1131 1.9247
5.0687 -6.7743 3.5204
1.1353 -3.2834 0.4701
3.2892 -1.6279 2.7835
3.0845 -4.0283 7.0013
5.1363 -4.3312 -0.0684
9.7955 -2.0368 4.7038
1.1225 -5.1047 4.2222
5.8493 -0.3672 5.4057
5.7818 -2.8103 8.9944
2.1435 1.0555 2.1954
5.0760 2.4996 5.1990
3.3156 -4.6262 2.2676
7.6025 -2.5152 6.6584
5.4590 -3.5707 4.4630
0.0000 0.0000 0.0000
```

Values from the calculation:
DOS at the Fermi energy: 1.866 states/eV per atom
Energy of formation: 0.262 eV/atom
SG: P4_2/mnm, No. 136
Raw total energy: -78.82 eV per cell


DyPtAu2 | PBE | relaxed

POSCAR file:
```
DyPtAu2
1.0
-1.0749 3.9158 2.5708
-0.0677 -0.2209 4.8005
3.4181 2.2097 2.5557
Pt Dy Au
1 1 2
Cartesian
0.0000 0.0000 0.0000
1.1378 2.9523 4.9635
1.7067 4.4285 7.4453
0.5689 1.4762 2.4818
```

Values from the calculation:
DOS at the Fermi energy: 0.327 states/eV per atom
Energy of formation: -0.678 eV/atom
SG: Fm-3m, No. 225
Raw total energy: -19.91 eV per cell


Ir2OsRu | PBE | relaxed

POSCAR file:
```
Ir2OsRu
1.0
5.5333 0.0000 0.0000
0.0000 5.5333 0.0000
2.7666 2.7666 5.5625
Ru Os Ir
2 2 4
Cartesian
2.7666 2.7666 0.0000
2.7666 5.5333 2.7812
0.0000 0.0000 0.0000
5.5333 2.7666 2.7812
1.3805 4.1500 1.3906
4.1500 4.1472 4.1719
4.1528 1.3833 1.3906
6.9166 6.9194 4.1719
```

Values from the calculation:
DOS at the Fermi energy: 0.811 states/eV per atom
Energy of formation: 1.042 eV/atom
SG: I-42d, No. 122
Raw total energy: -68.12 eV per cell


Ba4PmCd5 | PBE | relaxed

POSCAR file:
```
Ba4PmCd5
1.0
-0.0464 -4.1258 0.0159
0.2825 -0.0190 -4.1164
21.1352 -0.2320 1.4518
Pm Cd Ba
1 5 4
Cartesian
0.0000 0.0000 0.0000
1.7693 -2.0905 -1.9368
15.0812 -2.2367 -1.0224
19.6021 -2.2863 -0.7119
6.2902 -2.1402 -1.6263
10.6857 -2.1884 -1.3244
8.3680 -0.0919 0.5748
3.9502 -0.0434 0.2713
12.7672 -0.1402 0.8770
17.1850 -0.1887 1.1804
```

Values from the calculation:
DOS at the Fermi energy: 0.591 states/eV per atom
Energy of formation: -0.308 eV/atom
SG: P4/mmm, No. 123
Raw total energy: -20.10 eV per cell


BaZn2Re | PBE | relaxed

POSCAR file:
```
BaZn2Re
1.0
-1.5585 2.7700 1.1693
-3.0044 -1.3821 -0.7297
-0.2579 -2.9596 6.6671
Zn Ba Re
2 1 1
Cartesian
-0.1500 -1.7215 3.8781
-0.2368 -2.7179 6.1225
-2.3459 -0.0460 1.8866
-2.4749 -1.5258 5.2201
```

Values from the calculation:
DOS at the Fermi energy: 0.810 states/eV per atom
Energy of formation: 0.461 eV/atom
SG: P4/mmm, No. 123
Raw total energy: -15.07 eV per cell


La3Sn2Ru | PBE | relaxed

POSCAR file:
```
La3Sn2Ru
1.0
-2.2268 -3.7084 -0.4914
8.8970 -6.2167 6.5993
-6.5090 2.4410 11.0747
La Sn Ru
12 8 4
Cartesian
-5.9430 0.9764 9.9206
-4.0443 -2.7212 9.9378
-1.4712 -3.4656 3.8950
-2.9750 -0.3939 6.8120
-2.2581 -4.3745 14.3208
6.1042 -8.4605 7.2620
4.2055 -4.7629 7.2448
1.6324 -4.0185 13.2876
1.0405 -2.8497 7.1493
3.1362 -7.0902 10.3706
2.4194 -3.1096 2.8619
-0.8793 -4.6344 10.0334
-1.4376 -2.0224 12.1351
-2.5421 -0.1970 3.3645
1.5988 -5.4617 5.0475
-2.2016 -3.4739 7.2673
0.1702 -3.5317 16.2403
-0.0090 -3.9524 0.9423
2.7033 -7.2871 13.8182
2.3628 -4.0102 9.9153
0.4666 -6.0913 14.9291
-0.3054 -1.3928 2.2535
-1.4067 -1.6769 9.3880
1.5679 -5.8072 7.7946
```

Values from the calculation:
DOS at the Fermi energy: 0.793 states/eV per atom
Energy of formation: -0.653 eV/atom
SG: Pnma, No. 62
Raw total energy: -143.92 eV per cell